PBE Ca3Pb5Au12, relaxed; mass density = 9.932 g/cm3; DFT formation energy = -0.12 eV per atom; N(E_F) = 20.0 states/eV/cell
1.0
-8.380 8.380 8.380
8.380 -8.380 8.380
8.380 8.380 -8.380
Ca Pb Au
12 20 48
direct
0.125 0.250 0.375
0.125 0.375 0.750
0.250 0.375 0.125
0.250 0.875 0.625
0.375 0.125 0.250
0.375 0.750 0.125
0.625 0.250 0.875
0.625 0.875 0.750
0.750 0.125 0.375
0.750 0.625 0.875
0.875 0.625 0.250
0.875 0.750 0.625
0.000 0.000 0.000
0.000 0.000 0.500
0.000 0.500 0.000
0.000 0.500 0.500
0.125 0.750 0.875
0.125 0.875 0.250
0.250 0.125 0.875
0.250 0.625 0.375
0.375 0.250 0.625
0.375 0.625 0.750
0.500 0.000 0.000
0.500 0.000 0.500
0.500 0.500 0.000
0.500 0.500 0.500
0.625 0.375 0.250
0.625 0.750 0.375
0.750 0.375 0.625
0.750 0.875 0.125
0.875 0.125 0.750
0.875 0.250 0.125
0.071 0.230 0.151
0.071 0.341 0.921
0.079 0.651 0.420
0.079 0.929 0.659
0.080 0.730 0.659
0.080 0.849 0.421
0.151 0.071 0.230
0.151 0.579 0.920
0.159 0.230 0.580
0.159 0.429 0.579
0.230 0.151 0.071
0.230 0.580 0.159
0.270 0.341 0.920
0.270 0.429 0.349
0.341 0.920 0.270
0.341 0.921 0.071
0.349 0.270 0.429
0.349 0.580 0.921
0.420 0.079 0.651
0.420 0.841 0.770
0.421 0.080 0.849
0.421 0.841 0.571
0.429 0.349 0.270
0.429 0.579 0.159
0.571 0.421 0.841
0.571 0.651 0.730
0.579 0.159 0.429
0.579 0.920 0.151
0.580 0.159 0.230
0.580 0.921 0.349
0.651 0.420 0.079
0.651 0.730 0.571
0.659 0.079 0.929
0.659 0.080 0.730
0.730 0.571 0.651
0.730 0.659 0.080
0.770 0.420 0.841
0.770 0.849 0.929
0.841 0.571 0.421
0.841 0.770 0.420
0.849 0.421 0.080
0.849 0.929 0.770
0.920 0.151 0.579
0.920 0.270 0.341
0.921 0.071 0.341
0.921 0.349 0.580
0.929 0.659 0.079
0.929 0.770 0.849



PBE Ca2PbAu, relaxed; mass density = 6.613 g/cm3; DFT formation energy = -0.53 eV per atom; N(E_F) = 3.3 states/eV/cell
1.0
1.995 1.152 8.825
-1.995 1.152 8.825
0.000 -2.303 8.825
Ca Pb Au
2 1 1
direct
0.000 0.000 0.000
0.190 0.190 0.190
0.428 0.428 0.428
0.595 0.595 0.595



PBE CaPbAu, relaxed; mass density = 9.336 g/cm3; DFT formation energy = -0.58 eV per atom; N(E_F) = 7.8 states/eV/cell
1.0
14.344 0.000 0.000
0.000 4.064 0.000
0.000 0.000 8.133
Ca Pb Au
6 6 6
direct
0.054 0.000 0.221
0.250 0.000 0.821
0.446 0.000 0.221
0.554 0.000 0.779
0.750 0.000 0.179
0.946 0.000 0.779
0.113 0.500 0.559
0.250 0.500 0.164
0.387 0.500 0.559
0.613 0.500 0.441
0.750 0.500 0.836
0.887 0.500 0.441
0.090 0.500 0.927
0.250 0.000 0.432
0.410 0.500 0.927
0.590 0.500 0.073
0.750 0.000 0.568
0.910 0.500 0.073



PBE Ca4Pb5Au2, relaxed; mass density = 8.473 g/cm3; DFT formation energy = -0.52 eV per atom; N(E_F) = 3.3 states/eV/cell
1.0
8.385 0.000 0.000
0.000 3.705 0.000
-0.566 0.000 10.032
Ca Pb Au
4 5 2
direct
0.207 0.000 0.352
0.220 0.000 0.918
0.780 0.000 0.082
0.793 0.000 0.648
0.139 0.500 0.630
0.457 0.500 0.163
0.500 0.500 0.500
0.543 0.500 0.837
0.861 0.500 0.370
0.080 0.500 0.129
0.920 0.500 0.871



PBE CaPbAu, relaxed; mass density = 9.367 g/cm3; DFT formation energy = -0.48 eV per atom; N(E_F) = 1.0 states/eV/cell
1.0
-1.827 1.827 5.899
1.827 -1.827 5.899
1.827 1.827 -5.899
Ca Pb Au
1 1 1
direct
0.000 0.000 0.000
0.705 0.705 0.000
0.360 0.360 0.000



PBE Ca4PbAu, relaxed; energy above the most stable polymorph in this dataset = 630 meV per atom; mass density = 4.701 g/cm3; DFT formation energy = 0.17 eV per atom; N(E_F) = 5.8 states/eV/cell
1.0
0.000 4.637 4.637
4.637 0.000 4.637
4.637 4.637 0.000
Ca Pb Au
4 1 1
direct
0.125 0.125 0.125
0.125 0.125 0.626
0.125 0.626 0.125
0.626 0.125 0.125
0.750 0.750 0.750
0.500 0.500 0.500